An optimized crystal structure of Ce2ErH6. Source: Alexandria via LeMat-Bulk, functional PBE-GGA.

## Properties
Total DFT energy (no corrections), eV for the cell shown: -41.85
Space group: Immm, No. 71
Calculated density, g/cm³: 6.6
V, Å³ per cell: 113.4

a b c (Å): 3.7453 5.3683 6.5216
angles (deg): 114.30 106.68 90.00
Fractional positions:
1 Ce 0.3358 0.3357 0.6714
2 Ce 0.6642 0.6643 0.3286
3 Er 0.0000 0.0000 0.0000
4 H 0.8383 0.0773 0.6763
5 H 0.1617 0.4010 0.3237
6 H 0.1617 0.9227 0.3237
7 H 0.5000 0.2324 0.0000
8 H 0.8383 0.5990 0.6763
9 H 0.5000 0.7676 0.0000



An optimized crystal structure of TbAlI. Source: Alexandria via LeMat-Bulk, functional PBE-GGA.

## Properties
Total DFT energy (no corrections), eV for the cell shown: -25.25
Space group: C2/m, No. 12
Energy relative to the elements, uncorrected, eV per atom: -0.9005
Calculated density, g/cm³: 5.3
V, Å³ per cell: 194.6

a b c (Å): 4.2913 4.2913 12.4498
angles (deg): 90.17 99.75 120.00
Fractional positions:
1 Tb 0.8887 0.4429 0.3316
2 Tb 0.1113 0.5571 0.6684
3 Al 0.3226 0.1612 0.4838
4 Al 0.6774 0.8388 0.5162
5 I 0.5511 0.2786 0.8297
6 I 0.4489 0.7214 0.1703



An optimized crystal structure of LiCaMg2Tl2. Source: Alexandria via LeMat-Bulk, functional PBE-GGA.

## Properties
Total DFT energy (no corrections), eV for the cell shown: -13.16
Space group: P-3m1, No. 164
Calculated density, g/cm³: 5.6
Calculated formation energy, kJ/mol of formula units: -127.9
V, Å³ per cell: 148.6

a b c (Å): 5.0413 5.0413 6.7494
angles (deg): 90.00 90.00 120.00
Fractional positions:
1 Li 0.0000 0.0000 0.5000
2 Ca 0.0000 0.0000 0.0000
3 Mg 0.3333 0.6667 0.6916
4 Mg 0.6667 0.3333 0.3084
5 Tl 0.3333 0.6667 0.2311
6 Tl 0.6667 0.3333 0.7689



An optimized crystal structure of ThZr2Zn. Source: Alexandria via LeMat-Bulk, functional PBE-GGA.

## Properties
Energy above the most stable polymorph in this dataset, meV/atom: 181
Total DFT energy (no corrections), eV for the cell shown: -25.30
Space group: Fm-3m, No. 225
Calculated density, g/cm³: 8.8
Calculated formation energy, kJ/mol of formula units: 47.2
V, Å³ per cell: 91.0

a b c (Å): 5.0478 5.0478 5.0481
angles (deg): 60.00 60.00 60.00
Fractional positions:
1 Zn 0.5000 0.5000 0.5000
2 Zr 0.7500 0.7500 0.7501
3 Zr 0.2500 0.2500 0.2499
4 Th 0.0000 0.0000 0.0000



An optimized crystal structure of Tl2MoPb. Source: Alexandria via LeMat-Bulk, functional PBE-GGA.

## Properties
Energy above the most stable polymorph in this dataset, meV/atom: 340
Total DFT energy (no corrections), eV for the cell shown: -15.96
Space group: F-43m, No. 216
Calculated density, g/cm³: 11.2
Calculated formation energy, kJ/mol of formula units: 319.8
V, Å³ per cell: 105.8

a b c (Å): 5.3086 5.3086 5.3086
angles (deg): 60.00 60.00 60.00
Fractional positions:
1 Mo 0.5000 0.5000 0.5000
2 Pb 0.7500 0.7500 0.7500
3 Tl 0.0000 0.0000 0.0000
4 Tl 0.2500 0.2500 0.2500



An optimized crystal structure of LiLaNdTl. Source: Alexandria via LeMat-Bulk, functional PBE-GGA.

## Properties
Total DFT energy (no corrections), eV for the cell shown: -14.82
Space group: F-43m, No. 216
Calculated density, g/cm³: 6.9
Calculated formation energy, kJ/mol of formula units: -81.1
V, Å³ per cell: 118.3

a b c (Å): 5.5096 5.5096 5.5096
angles (deg): 60.00 60.00 60.00
Fractional positions:
1 Tl 0.5000 0.5000 0.5000
2 Li 0.0000 0.0000 0.0000
3 Nd 0.7500 0.7500 0.7500
4 La 0.2500 0.2500 0.2500



An optimized crystal structure of Dy2YHo12. Source: Alexandria via LeMat-Bulk, functional PBE-GGA.

## Properties
Total DFT energy (no corrections), eV for the cell shown: -137.90
Space group: P2/m, No. 10
Calculated density, g/cm³: 8.4
Calculated formation energy, kJ/mol of formula units: 159.5
V, Å³ per cell: 949.1

a b c (Å): 6.6165 6.6165 24.4751
angles (deg): 83.22 83.22 114.79
Fractional positions:
1 Dy 0.5400 0.0400 0.2808
2 Dy 0.0400 0.5400 0.2808
3 Dy 0.9600 0.4600 0.7192
4 Dy 0.4600 0.9600 0.7192
5 Y 0.5000 0.0000 0.0000
6 Y 0.0000 0.5000 0.0000
7 Ho 0.3937 0.3937 0.8075
8 Ho 0.8937 0.8937 0.8075
9 Ho 0.5492 0.5492 0.9335
10 Ho 0.3515 0.8515 0.8639
11 Ho 0.0040 0.0040 0.3291
12 Ho 0.1485 0.6485 0.1361
13 Ho 0.8171 0.3171 0.5768
14 Ho 0.5040 0.5040 0.3291
15 Ho 0.0492 0.0492 0.9335
16 Ho 0.9508 0.9508 0.0665
17 Ho 0.3330 0.3330 0.5556
18 Ho 0.6829 0.1829 0.4232
19 Ho 0.9960 0.9960 0.6709
20 Ho 0.1670 0.1670 0.4444
21 Ho 0.4508 0.4508 0.0665
22 Ho 0.6670 0.6670 0.4444
23 Ho 0.8330 0.8330 0.5556
24 Ho 0.1063 0.1063 0.1925
25 Ho 0.3171 0.8171 0.5768
26 Ho 0.4960 0.4960 0.6709
27 Ho 0.8515 0.3515 0.8639
28 Ho 0.6063 0.6063 0.1925
29 Ho 0.1829 0.6829 0.4232
30 Ho 0.6485 0.1485 0.1361



An optimized crystal structure of Re6IrOs2. Source: Alexandria via LeMat-Bulk, functional PBE-GGA.

## Properties
Total DFT energy (no corrections), eV for the cell shown: -209.66
Space group: C2/c, No. 15
Calculated density, g/cm³: 20.7
Calculated formation energy, kJ/mol of formula units: 113.5
V, Å³ per cell: 271.5

a b c (Å): 6.8601 7.0224 6.8601
angles (deg): 65.28 84.27 65.28
Fractional positions:
1 Re 0.4012 0.5518 0.6526
2 Re 0.3474 0.9482 0.5988
3 Re 0.5988 0.4482 0.3474
4 Re 0.6526 0.0518 0.4012
5 Re 0.9406 0.1412 0.6127
6 Re 0.3873 0.3588 0.0594
7 Re 0.0594 0.8588 0.3873
8 Re 0.6127 0.6412 0.9406
9 Re 0.1804 0.8157 0.0192
10 Re 0.9808 0.6843 0.8196
11 Re 0.8196 0.1843 0.9808
12 Re 0.0192 0.3157 0.1804
13 Ir 0.8264 0.7500 0.1736
14 Ir 0.1736 0.2500 0.8264
15 Os 0.4055 0.9349 0.2057
16 Os 0.7942 0.5651 0.5945
17 Os 0.5945 0.0651 0.7943
18 Os 0.2057 0.4349 0.4055



An optimized crystal structure of CsKNa2Pt. Source: Alexandria via LeMat-Bulk, functional PBE-GGA.

## Properties
Energy above the most stable polymorph in this dataset, meV/atom: 31
Total DFT energy (no corrections), eV for the cell shown: -10.23
Space group: P4/mmm, No. 123
Calculated density, g/cm³: 3.1
Calculated formation energy, kJ/mol of formula units: 38.2
V, Å³ per cell: 223.5

a b c (Å): 5.8317 5.8317 6.5718
angles (deg): 90.00 90.00 90.00
Fractional positions:
1 Cs 0.0000 0.0000 0.5000
2 Na 0.0000 0.5000 0.0000
3 Na 0.5000 0.0000 0.0000
4 K 0.5000 0.5000 0.5000
5 Pt 0.0000 0.0000 0.0000



An optimized crystal structure of HfFePt. Source: Alexandria via LeMat-Bulk, functional PBE-GGA.

## Properties
Total DFT energy (no corrections), eV for the cell shown: -50.10
Space group: Pmmm, No. 47
Calculated density, g/cm³: 13.1
Calculated formation energy, kJ/mol of formula units: -57.4
V, Å³ per cell: 108.6

a b c (Å): 3.8206 4.0597 7.0036
angles (deg): 90.00 90.00 90.00
Fractional positions:
1 Hf 0.0000 0.5000 0.2500
2 Hf 0.0000 0.5000 0.7500
3 Fe 0.0000 0.0000 0.0000
4 Fe 0.0000 0.0000 0.5000
5 Pt 0.5000 0.0000 0.2500
6 Pt 0.5000 0.0000 0.7500



An optimized crystal structure of Tb3Pu5Te8. Source: Alexandria via LeMat-Bulk, functional PBE-GGA.

## Properties
Total DFT energy (no corrections), eV for the cell shown: -129.62
Space group: R-3m, No. 166
Energy relative to the elements, uncorrected, eV per atom: -1.1837
Calculated density, g/cm³: 9.3
V, Å³ per cell: 484.6

a b c (Å): 8.8167 8.8167 8.8164
angles (deg): 60.00 60.00 60.00
Fractional positions:
1 Tb 0.5000 0.0000 0.5000
2 Tb 0.0000 0.0000 0.5000
3 Tb 0.0000 0.5000 0.5000
4 Pu 0.5000 0.0000 0.0000
5 Pu 0.5000 0.5000 0.0000
6 Pu 0.0000 0.0000 0.0000
7 Pu 0.0000 0.5000 0.0000
8 Pu 0.5000 0.5000 0.5000
9 Te 0.2500 0.2500 0.7471
10 Te 0.2500 0.7530 0.7471
11 Te 0.7530 0.2500 0.7471
12 Te 0.7509 0.7509 0.7474
13 Te 0.7500 0.7500 0.2529
14 Te 0.7500 0.2470 0.2529
15 Te 0.2470 0.7500 0.2529
16 Te 0.2491 0.2491 0.2526



An optimized crystal structure of CaBrCl2. Source: Alexandria via LeMat-Bulk, functional PBE-GGA.

## Properties
Energy above the most stable polymorph in this dataset, meV/atom: 115
Total DFT energy (no corrections), eV for the cell shown: -13.45
Space group: R-3m, No. 166
Energy relative to the elements, uncorrected, eV per atom: -1.5203
Calculated density, g/cm³: 2.1
V, Å³ per cell: 149.4

a b c (Å): 11.0067 11.0067 11.0067
angles (deg): 20.96 20.96 20.96
Fractional positions:
1 Ca 0.7500 0.7500 0.7500
2 Br 0.2500 0.2500 0.2500
3 Cl 0.0379 0.0379 0.0379
4 Cl 0.4621 0.4621 0.4621



An optimized crystal structure of NaGa2Pd4. Source: Alexandria via LeMat-Bulk, functional PBE-GGA.

## Properties
Energy above the most stable polymorph in this dataset, meV/atom: 275
Total DFT energy (no corrections), eV for the cell shown: -29.65
Space group: Fmmm, No. 69
Calculated density, g/cm³: 8.2
Calculated formation energy, kJ/mol of formula units: -145.4
V, Å³ per cell: 119.7

a b c (Å): 4.8371 4.8371 6.0840
angles (deg): 105.93 105.93 108.04
Fractional positions:
1 Na 0.0000 0.0000 0.0000
2 Ga 0.6428 0.6428 0.2856
3 Ga 0.3572 0.3572 0.7144
4 Pd 0.7500 0.2500 0.5000
5 Pd 0.2500 0.7500 0.5000
6 Pd 0.5000 0.0000 0.0000
7 Pd 0.0000 0.5000 0.0000



An optimized crystal structure of SrAc2CrN4. Source: Alexandria via LeMat-Bulk, functional PBE-GGA.

## Properties
Total DFT energy (no corrections), eV for the cell shown: -118.67
Space group: Cmcm, No. 63
Energy relative to the elements, uncorrected, eV per atom: -0.8137
Calculated density, g/cm³: 7.1
V, Å³ per cell: 305.8

a b c (Å): 3.6974 6.7759 12.6865
angles (deg): 90.00 90.00 105.83
Fractional positions:
1 Sr 0.1202 0.2403 0.7500
2 Sr 0.8798 0.7597 0.2500
3 Ac 0.3699 0.7398 0.5415
4 Ac 0.6301 0.2602 0.0415
5 Ac 0.6301 0.2602 0.4585
6 Ac 0.3699 0.7398 0.9585
7 Cr 0.8173 0.6346 0.7500
8 Cr 0.1827 0.3654 0.2500
9 N 0.2662 0.5323 0.1356
10 N 0.7338 0.4677 0.6356
11 N 0.7338 0.4677 0.8644
12 N 0.2662 0.5323 0.3644
13 N 0.0000 0.0000 0.5000
14 N 0.0000 0.0000 0.0000
15 N 0.3750 0.7501 0.7500
16 N 0.6250 0.2499 0.2500



An optimized crystal structure of NaB3C. Source: Alexandria via LeMat-Bulk, functional PBE-GGA.

## Properties
Energy above the most stable polymorph in this dataset, meV/atom: 0
Total DFT energy (no corrections), eV for the cell shown: -20.60
Space group: Pm-3m, No. 221
Calculated density, g/cm³: 2.4
Calculated formation energy, kJ/mol of formula units: 962.6
V, Å³ per cell: 47.4

a b c (Å): 3.6195 3.6195 3.6195
angles (deg): 90.00 90.00 90.00
Fractional positions:
1 Na 0.5000 0.5000 0.5000
2 C 0.0000 0.0000 0.0000
3 B 0.0000 0.5000 0.0000
4 B 0.0000 0.0000 0.5000
5 B 0.5000 0.0000 0.0000



An optimized crystal structure of CaPr7Er4. Source: Alexandria via LeMat-Bulk, functional PBE-GGA.

## Properties
Total DFT energy (no corrections), eV for the cell shown: -53.28
Space group: P-1, No. 2
Calculated density, g/cm³: 6.8
Calculated formation energy, kJ/mol of formula units: 41.0
V, Å³ per cell: 414.5

a b c (Å): 7.3185 9.6712 9.6748
angles (deg): 69.04 78.92 40.81
Fractional positions:
1 Ca 0.0000 0.0000 0.0000
2 Pr 0.7557 0.5019 0.0027
3 Pr 0.2443 0.4981 0.9973
4 Pr 0.9985 0.3395 0.6611
5 Pr 0.0015 0.6605 0.3389
6 Pr 0.2529 0.8314 0.6598
7 Pr 0.5000 0.0000 0.0000
8 Pr 0.7471 0.1686 0.3402
9 Er 0.5103 0.6589 0.3386
10 Er 0.4897 0.3411 0.6614
11 Er 0.7493 0.8353 0.6651
12 Er 0.2507 0.1647 0.3349



An optimized crystal structure of Fe2SiPb. Source: Alexandria via LeMat-Bulk, functional PBE-GGA.

## Properties
Energy above the most stable polymorph in this dataset, meV/atom: 363
Total DFT energy (no corrections), eV for the cell shown: -47.97
Space group: I-42d, No. 122
Energy relative to the elements, uncorrected, eV per atom: 0.5175
Calculated density, g/cm³: 7.9
V, Å³ per cell: 146.2

a b c (Å): 4.2115 4.2115 8.7643
angles (deg): 76.10 76.10 90.00
Fractional positions:
1 Pb 0.0000 0.0000 0.0000
2 Pb 0.7500 0.2500 0.5000
3 Si 0.5000 0.5000 0.0000
4 Si 0.2500 0.7500 0.5000
5 Fe 0.5064 0.1250 0.2500
6 Fe 0.2436 0.6250 0.2500
7 Fe 0.3750 0.4936 0.7500
8 Fe 0.8750 0.7564 0.7500



An optimized crystal structure of GaSnN2. Source: Alexandria via LeMat-Bulk, functional PBE-GGA.

## Properties
Energy above the most stable polymorph in this dataset, meV/atom: 1072
Total DFT energy (no corrections), eV for the cell shown: -18.92
Space group: Fm-3m, No. 225
Energy relative to the elements, uncorrected, eV per atom: 1.1902
Calculated density, g/cm³: 7.4
V, Å³ per cell: 48.4

a b c (Å): 4.0907 4.0907 4.0907
angles (deg): 60.00 60.00 60.00
Fractional positions:
1 Sn 0.5000 0.5000 0.5000
2 Ga 0.0000 0.0000 0.0000
3 N 0.2500 0.2500 0.2500
4 N 0.7500 0.7500 0.7500



An optimized crystal structure of Pm2ZnIn3. Source: Alexandria via LeMat-Bulk, functional PBE-GGA.

## Properties
Energy above the most stable polymorph in this dataset, meV/atom: 0
Total DFT energy (no corrections), eV for the cell shown: -43.44
Space group: Fmmm, No. 69
Calculated density, g/cm³: 7.6
Calculated formation energy, kJ/mol of formula units: -263.5
V, Å³ per cell: 305.5

a b c (Å): 6.1374 6.1374 9.1875
angles (deg): 104.40 104.40 104.80
Fractional positions:
1 Pm 0.2500 0.7500 0.5000
2 Pm 0.7499 0.7499 0.0000
3 Pm 0.7500 0.2500 0.5000
4 Pm 0.2501 0.2501 0.0000
5 Zn 0.6667 0.6667 0.3335
6 Zn 0.3333 0.3333 0.6666
7 In 0.3425 0.8292 0.1717
8 In 0.1708 0.6575 0.8283
9 In 0.6575 0.1708 0.8283
10 In 0.8292 0.3425 0.1717
11 In 0.1717 0.1717 0.3434
12 In 0.8283 0.8283 0.6566



An optimized crystal structure of TmTh4. Source: Alexandria via LeMat-Bulk, functional PBE-GGA.

## Properties
Energy above the most stable polymorph in this dataset, meV/atom: 0
Total DFT energy (no corrections), eV for the cell shown: -34.06
Space group: C2/m, No. 12
Calculated density, g/cm³: 11.5
Calculated formation energy, kJ/mol of formula units: 9.0
V, Å³ per cell: 159.0

a b c (Å): 3.5608 3.5608 14.6059
angles (deg): 83.11 83.11 60.11
Fractional positions:
1 Tm 0.0000 0.0000 0.0000
2 Th 0.1997 0.1997 0.3992
3 Th 0.8003 0.8003 0.6008
4 Th 0.6008 0.6008 0.2003
5 Th 0.3992 0.3992 0.7997